The following is a PBE-GGA calculation of an optimized crystal structure of PmTm3Sc2, from the Alexandria database.

Structure (CIF):
```
data_PmTm3Sc2
_cell_length_a 22.4159
_cell_length_b 3.3812
_cell_length_c 9.8347
_cell_angle_alpha 90.00
_cell_angle_beta 108.06
_cell_angle_gamma 90.00
_space_group_name_H-M_alt 'C 1 2/m 1'
_space_group_IT_number 12
_space_group_name_Hall '-C 2y'
loop_
_atom_site_label
_atom_site_type_symbol
_atom_site_fract_x
_atom_site_fract_y
_atom_site_fract_z
Pm1 Pm 0.1824 0.0000 0.0454
Tm1 Tm 0.0596 0.0000 0.4367
Tm2 Tm 0.0674 0.5000 0.7674
Tm3 Tm 0.1965 0.0000 0.7088
Sc1 Sc 0.0693 0.5000 0.1416
Sc2 Sc 0.1923 0.0000 0.3750
```

* excess energy over the best structure of this formula in the dataset: 0 meV/atom
* calculated formation energy: 0.1473 eV/atom